8
Lattice="-2.978 2.978 4.875 2.978 -2.978 4.875 2.978 2.978 -4.875" Properties=species:S:1:pos:R:3 comment="Ni2SbBr (PBE, relaxed)" total_magnetization_mub_per_fu=0.0 formation_energy_uncorrected_ev_per_atom=0.130 energy_ev_per_cell=-33.67 pbc="T T T"
Ni 4.467 1.435 -1.219
Ni 1.435 1.489 1.219
Ni -1.489 1.543 3.656
Ni 1.543 1.489 6.094
Sb 2.978 0.000 2.437
Sb 0.000 0.000 4.875
Br 0.000 0.000 0.000
Br 0.000 2.978 2.437